Record 1
Material: Y4TeCSe2
Method: DFT, PBE
State: optimized geometry Values from VASP.

Cell and atoms, written as Quantum ESPRESSO input:
```
&SYSTEM
  ibrav = 0, nat = 8, ntyp = 4
/
ATOMIC_SPECIES
C 12.01 C.upf
Y 88.91 Y.upf
Se 78.96 Se.upf
Te 127.60 Te.upf
ATOMIC_POSITIONS crystal
C 0.0000 0.5000 0.5000
Y 0.0000 0.7292 0.7027
Y 0.0000 0.2708 0.2973
Y 0.5000 0.7161 0.2939
Y 0.5000 0.2839 0.7061
Se 0.5000 0.0000 0.5000
Se 0.0000 0.0000 0.0000
Te 0.5000 0.5000 0.0000
CELL_PARAMETERS angstrom
3.9795 0.0000 0.0000
0.0000 6.9967 -0.1043
0.0000 2.5049 6.8260
```

Results
volume = 23.89 A^3/atom
formation energy (no corrections) = -10.5 eV per formula unit



Record 2
Material: Y6Te3C2Se
Method: DFT, PBE
State: optimized geometry Values from VASP.

Cell and atoms, written as Quantum ESPRESSO input:
```
&SYSTEM
  ibrav = 0, nat = 12, ntyp = 4
/
ATOMIC_SPECIES
Y 88.91 Y.upf
C 12.01 C.upf
Te 127.60 Te.upf
Se 78.96 Se.upf
ATOMIC_POSITIONS crystal
Y 0.9694 0.7432 0.9389
C 0.1708 0.3362 0.3417
Y 0.6818 0.5519 0.3636
Y 0.6728 0.1395 0.3455
Te 0.1573 0.8335 0.3145
Y 0.0306 0.2568 0.0611
C 0.8292 0.6638 0.6583
Te 0.8427 0.1665 0.6855
Y 0.3182 0.4481 0.6364
Se 0.5000 0.0000 0.0000
Y 0.3272 0.8605 0.6545
Te 0.5000 0.5000 0.0000
CELL_PARAMETERS angstrom
-1.8882 1.9699 -2.8470
-5.6649 -6.1809 -0.5196
-2.2581 4.8281 7.5695
```

Results
volume = 24.00 A^3/atom
formation energy (no corrections) = -13.8 eV per formula unit



Record 3
Material: Zn2TeCSe
Method: DFT, PBE
State: optimized geometry Values from VASP.

Cell and atoms, written as Quantum ESPRESSO input:
```
&SYSTEM
  ibrav = 0, nat = 5, ntyp = 4
/
ATOMIC_SPECIES
Te 127.60 Te.upf
Zn 65.41 Zn.upf
C 12.01 C.upf
Se 78.96 Se.upf
ATOMIC_POSITIONS crystal
Te 0.0000 0.5000 0.0000
Zn 0.5000 0.0000 0.0000
C 0.5000 0.5000 0.5000
Se 0.0000 0.0000 0.0000
Zn 0.0000 0.0000 0.5000
CELL_PARAMETERS angstrom
-2.2939 3.0723 2.9367
-3.9498 -4.2247 1.3345
2.7810 -1.4385 3.6772
```

Results
volume = 27.69 A^3/atom
formation energy (no corrections) = 8.2 eV per formula unit